Record 1
A crystal of Li2MgMn relaxed with PBEsol. Source: the Alexandria database, functional SCAN.

a = 3.0566 Å, b = 4.7048 Å, c = 9.6432 Å
α = 90.00°, β = 90.00°, γ = 90.00°
Space group Cmmm (No. 65)
Symmetry-distinct sites (fractional):
Li (0.0000, 0.0000, 0.2341) [4 per cell]
Mg (0.0000, 0.5000, 0.5000) [2 per cell]
Mn (0.0000, 0.5000, 0.0000) [2 per cell]

The value obtained for the total energy is -0.5074 Ry/atom. Its calculated volume is 17.334 Å³/atom.


Record 2
A crystal of Li3MgMn relaxed with PBEsol. Source: the Alexandria database, functional SCAN.

a = 4.8592 Å, b = 4.8592 Å, c = 4.8592 Å
α = 90.00°, β = 90.00°, γ = 90.00°
Space group Pm-3m (No. 221)
Symmetry-distinct sites (fractional):
Li (0.0000, 0.0000, 0.5000) [3 per cell]
Mg (0.0000, 0.0000, 0.0000) [1 per cell]
Mn (0.5000, 0.5000, 0.5000) [1 per cell]

The value obtained for the total energy is -0.4006 Ry/atom. Its calculated volume is 22.947 Å³/atom.


Record 3
A crystal of Li2MgMn relaxed with PBEsol. Source: the Alexandria database, functional SCAN.

a = 3.0328 Å, b = 4.7571 Å, c = 9.6129 Å
α = 90.00°, β = 90.00°, γ = 90.00°
Space group Immm (No. 71)
Symmetry-distinct sites (fractional):
Li (0.0000, 0.0000, 0.2442) [4 per cell]
Mg (0.0000, 0.5000, 0.0000) [2 per cell]
Mn (0.0000, 0.5000, 0.5000) [2 per cell]

The value obtained for the total energy is -0.5104 Ry/atom. Its calculated volume is 17.336 Å³/atom.


Record 4
A crystal of LiMg2Mn relaxed with PBEsol. Source: the Alexandria database, functional SCAN.

a = 3.0194 Å, b = 3.8432 Å, c = 6.2355 Å
α = 90.00°, β = 90.00°, γ = 90.00°
Space group Pmm2 (No. 25)
Symmetry-distinct sites (fractional):
Li (0.0000, 0.0000, 0.0000) [1 per cell]
Mg (0.0000, 0.0000, 0.5474) [1 per cell]
Mg (0.5000, 0.5000, 0.2517) [1 per cell]
Mn (0.5000, 0.5000, 0.7758) [1 per cell]

The value obtained for the total energy is -0.5588 Ry/atom. Its calculated volume is 18.089 Å³/atom.


Record 5
A crystal of LiMg30MnO32 relaxed with PBEsol. Source: the Alexandria database, functional SCAN.

a = 8.3956 Å, b = 8.3956 Å, c = 8.4621 Å
α = 90.00°, β = 90.00°, γ = 90.00°
Space group P4/mmm (No. 123)
Symmetry-distinct sites (fractional):
Li (0.0000, 0.0000, 0.0000) [1 per cell]
Mg (0.0000, 0.0000, 0.5000) [1 per cell]
Mg (0.0000, 0.2465, 0.2474) [8 per cell]
Mg (0.0000, 0.5000, 0.0000) [2 per cell]
Mg (0.0000, 0.5000, 0.5000) [2 per cell]
Mg (0.2449, 0.2449, 0.0000) [4 per cell]
Mg (0.2486, 0.2486, 0.5000) [4 per cell]
Mg (0.2497, 0.5000, 0.2531) [8 per cell]
Mg (0.5000, 0.5000, 0.5000) [1 per cell]
Mn (0.5000, 0.5000, 0.0000) [1 per cell]
O (0.0000, 0.0000, 0.2552) [2 per cell]
O (0.0000, 0.2515, 0.5000) [4 per cell]
O (0.0000, 0.2587, 0.0000) [4 per cell]
O (0.0000, 0.5000, 0.2478) [4 per cell]
O (0.2493, 0.5000, 0.5000) [4 per cell]
O (0.2509, 0.2509, 0.2490) [8 per cell]
O (0.2648, 0.5000, 0.0000) [4 per cell]
O (0.5000, 0.5000, 0.2572) [2 per cell]

The value obtained for the total energy is -0.6414 Ry/atom. Its calculated volume is 9.320 Å³/atom.


Record 6
A crystal of Li3MgMo relaxed with PBEsol. Source: the Alexandria database, functional SCAN.

a = 4.9066 Å, b = 4.9066 Å, c = 4.9066 Å
α = 90.00°, β = 90.00°, γ = 90.00°
Space group Pm-3m (No. 221)
Symmetry-distinct sites (fractional):
Li (0.0000, 0.0000, 0.5000) [3 per cell]
Mg (0.5000, 0.5000, 0.5000) [1 per cell]
Mo (0.0000, 0.0000, 0.0000) [1 per cell]

The value obtained for the total energy is -0.6116 Ry/atom. Its calculated volume is 23.625 Å³/atom.